The following is a DFT calculation (GGA-PBE) of a relaxed RbBeNb crystal.

a = 7.0240 Å, b = 7.0240 Å, c = 7.0240 Å
α = 90.00°, β = 90.00°, γ = 90.00°
With the nearest neighbours (Å) after each atom.
Space group F-43m (No. 216)
Asymmetric unit:
1 Rb 0.0000 0.0000 0.0000 (multiplicity 4)  4 Nb 3.04
2 Be 0.0000 0.0000 0.5000 (multiplicity 4)  4 Nb 3.04
3 Nb 0.2500 0.2500 0.7500 (multiplicity 4)  4 Be 3.04, 4 Rb 3.04

## Properties
Theoretical density, Mg/m³: 3.592
Energy relative to the lowest polymorph listed for this composition, eV/atom: 0.155